# 1
A plane-wave DFT calculation with PBE with a Hubbard U was carried out for a relaxed Li2Cr2WO6 crystal.

Cell: 5.3097 5.3097 5.2543 Å, 99.73 99.73 120.30°
Closest atoms and distances in Å follow each position.
Fractional positions:
Li: 0.1895 0.8105 0.0000  4 O 2.07-2.25
Li: 0.8105 0.1895 0.0000  4 O 2.07-2.25
Cr: 0.3350 0.6650 0.5000  6 O 2.01-2.08
Cr: 0.6650 0.3350 0.5000  6 O 2.01-2.08
W: 0.0000 0.0000 0.5000  6 O 2.03-2.12
O: 0.0609 0.4120 0.7161  2 Cr 2.01-2.08, 2 Li 2.07-2.25, 1 W 2.12
O: 0.2589 0.2589 0.2886  1 W 2.03, 2 Cr 2.05
O: 0.4120 0.0609 0.7161  2 Cr 2.01-2.08, 2 Li 2.07-2.25, 1 W 2.12
O: 0.5880 0.9391 0.2839  2 Cr 2.01-2.08, 2 Li 2.07-2.25, 1 W 2.12
O: 0.7411 0.7411 0.7114  1 W 2.03, 2 Cr 2.05
O: 0.9391 0.5880 0.2839  2 Cr 2.01-2.08, 2 Li 2.07-2.25, 1 W 2.12

The total DFT energy (no corrections) comes out at -77.410 eV for the cell shown.

=====

# 2
A plane-wave DFT calculation with PBE with a Hubbard U was carried out for a relaxed YFeF6 crystal.

Cell: 5.0487 5.0487 5.2361 Å, 96.42 96.42 115.86°
Closest atoms and distances in Å follow each position.
Fractional positions:
Y: 0.0000 0.0000 0.0000  6 F 2.18-2.24
Fe: 0.5000 0.5000 0.5000  6 F 1.95-1.98
F: 0.1395 0.4388 0.2591  1 Fe 1.98
F: 0.2466 0.2466 0.7175  1 Fe 1.95
F: 0.4388 0.1395 0.2591  1 Fe 1.98
F: 0.5612 0.8605 0.7409  1 Fe 1.98
F: 0.7534 0.7534 0.2825  1 Fe 1.95
F: 0.8605 0.5612 0.7409  1 Fe 1.98

The total DFT energy (no corrections) comes out at -49.018 eV for the cell shown.